# Ti2GaNi9, relaxed, DFT PBE
data_Ti2GaNi9
_cell_length_a 3.601
_cell_length_b 3.601
_cell_length_c 10.773
_cell_angle_alpha 90.00
_cell_angle_beta 90.00
_cell_angle_gamma 90.00
_space_group_name_H-M_alt 'P 1'
_space_group_IT_number 1
loop_
_space_group_symop_operation_xyz
'x,y,z'
loop_
_atom_site_label
_atom_site_fract_x
_atom_site_fract_y
_atom_site_fract_z
Ti1 0.000 0.000 0.330
Ti2 0.000 0.000 0.670
Ga1 0.000 0.000 0.000
Ni1 0.500 0.500 0.000
Ni2 0.500 0.500 0.332
Ni3 0.500 0.500 0.668
Ni4 0.500 0.000 0.166
Ni5 0.500 0.000 0.500
Ni6 0.500 0.000 0.834
Ni7 0.000 0.500 0.166
Ni8 0.000 0.500 0.500
Ni9 0.000 0.500 0.834
# Symmetry ... No. 123

***

# Ca2TlCd2, relaxed, DFT PBE
data_Ca2TlCd2
_cell_length_a 6.076
_cell_length_b 6.076
_cell_length_c 6.171
_cell_angle_alpha 60.51
_cell_angle_beta 60.51
_cell_angle_gamma 90.00
_space_group_name_H-M_alt 'P 1'
_space_group_IT_number 1
loop_
_space_group_symop_operation_xyz
'x,y,z'
loop_
_atom_site_label
_atom_site_fract_x
_atom_site_fract_y
_atom_site_fract_z
Tl1 0.000 0.000 0.000
Ca1 0.750 0.250 0.500
Ca2 0.250 0.750 0.500
Cd1 0.348 0.348 0.304
Cd2 0.652 0.652 0.696
# Symmetry ... No. 139
# Relative energy among the computed polymorphs ... 214.3 meV/atom

***

It is found that the E values, taken in the order of the records, are -76.01; -8.64 eV per cell.
It is found that the formation enthalpy at 0 K values, taken in the order of the records, are -430; -88 meV/atom.
It is found that the N(E_F) values, taken in the order of the records, are 11.21; 2.64 states/eV per cell.